Material: PtW2Au
Method: DFT, GGA-PBE
State: optimized geometry

Cell: 4.912 4.912 2.737 Å, 90.00 90.00 90.00°
Fractional positions:
Pt  0.000  0.000  0.000
W  0.000  0.500  0.500
W  0.500  0.000  0.500
Au  0.500  0.500  0.000

ΔE_f ... 401 meV/atom
Space-group type ... P4/mmm (123)

***

Material: Pt4WAu
Method: DFT, GGA-PBE
State: optimized geometry

Cell: 5.223 5.223 5.223 Å, 60.00 60.00 60.00°
Fractional positions:
Pt  0.125  0.125  0.125
Pt  0.125  0.125  0.626
Pt  0.125  0.626  0.125
Pt  0.626  0.125  0.125
W  0.750  0.750  0.750
Au  0.500  0.500  0.500

ΔE_f ... 298 meV/atom
Space-group type ... F-43m (216)

***

Material: PtWAu
Method: DFT, GGA-PBE
State: optimized geometry

Cell: 2.847 2.847 7.054 Å, 90.00 90.00 120.00°
Fractional positions:
Pt  0.000  0.000  0.000
W  0.667  0.333  0.307
Au  0.333  0.667  0.647

ΔE_f ... 81 meV/atom
Space-group type ... P3m1 (156)

***

Material: Pt2WAu
Method: DFT, GGA-PBE
State: optimized geometry

Cell: 2.855 3.942 5.738 Å, 90.00 90.00 90.00°
Fractional positions:
Pt  0.000  0.000  0.235
Pt  0.000  0.000  0.765
W  0.500  0.500  0.000
Au  0.500  0.500  0.500

ΔE_f ... -94 meV/atom
Space-group type ... Pmmm (47)